# 1
The following is a SCAN calculation of a crystal of GaSbI2Br relaxed with PBEsol, from Alexandria via LeMat-Bulk.

The structure in POSCAR format:
```
GaSbI2Br
1.0
5.8621 0.0000 0.0000
0.0000 5.8621 0.0000
0.0000 0.0000 5.5311
Ga Sb I Br
1 1 2 1
Direct
0.0000 0.0000 0.0000
0.5000 0.5000 0.0000
0.0000 0.5000 0.5000
0.5000 0.0000 0.5000
0.5000 0.5000 0.5000
```

Computed properties:
Formation energy without anion corrections   59.5 kJ/mol of atoms
Space group   No. 123
Polymorph energy (0 for the lowest one)   1.90 eV per formula unit
Fermi-level density of states   3.34 states/eV per cell
Total magnetization   1.67 μB/f.u.
Volume   38.01 Å³ per atom

# 2
The following is a SCAN calculation of a crystal of GaSbI2Br relaxed with PBEsol, from Alexandria via LeMat-Bulk.

The structure in POSCAR format:
```
GaSbI2Br
1.0
5.3881 0.0000 0.0000
0.0000 5.3881 0.0000
0.0000 0.0000 5.5044
Ga Sb I Br
1 1 2 1
Direct
0.0000 0.0000 0.0000
0.0000 0.0000 0.5000
0.0000 0.5000 0.0000
0.5000 0.0000 0.0000
0.5000 0.5000 0.5000
```

Computed properties:
Formation energy without anion corrections   22.9 kJ/mol of atoms
Space group   No. 123
Polymorph energy (0 for the lowest one)   0.00 eV per formula unit
Fermi-level density of states   2.73 states/eV per cell
Total magnetization   0.00 μB/f.u.
Volume   31.96 Å³ per atom

# 3
The following is a SCAN calculation of a crystal of InGaBr4 relaxed with PBEsol, from Alexandria via LeMat-Bulk.

The structure in POSCAR format:
```
InGaBr4
1.0
8.5897 0.0000 0.0000
0.0000 7.3943 0.0000
-3.4796 0.0000 12.5264
In Ga Br
4 4 16
Direct
0.0000 0.0835 0.2500
0.0000 0.9165 0.7500
0.5000 0.3895 0.7500
0.5000 0.6105 0.2500
0.2843 0.2134 0.0492
0.2843 0.7866 0.5492
0.7157 0.2134 0.4508
0.7157 0.7866 0.9508
0.1495 0.4247 0.1294
0.1495 0.5753 0.6294
0.2015 0.2575 0.8630
0.2015 0.7425 0.3630
0.2139 0.0780 0.5901
0.2139 0.9220 0.0901
0.4386 0.2676 0.3912
0.4386 0.7324 0.8912
0.5614 0.2676 0.1088
0.5614 0.7324 0.6088
0.7861 0.0780 0.9099
0.7861 0.9220 0.4099
0.7985 0.2575 0.6370
0.7985 0.7425 0.1370
0.8505 0.4247 0.3706
0.8505 0.5753 0.8706
```

Computed properties:
Formation energy without anion corrections   -82.6 kJ/mol of atoms
Space group   No. 13
Fermi-level density of states   0.00 states/eV per cell
Total magnetization   0.00 μB/f.u.
Volume   33.15 Å³ per atom

# 4
The following is a SCAN calculation of a crystal of In3GaBr relaxed with PBEsol, from Alexandria via LeMat-Bulk.

The structure in POSCAR format:
```
In3GaBr
1.0
5.3332 0.0000 0.0000
0.0000 5.3332 0.0000
0.0000 0.0000 5.3332
In Ga Br
3 1 1
Direct
0.0000 0.0000 0.5000
0.0000 0.5000 0.0000
0.5000 0.0000 0.0000
0.0000 0.0000 0.0000
0.5000 0.5000 0.5000
```

Computed properties:
Formation energy without anion corrections   -1.7 kJ/mol of atoms
Space group   No. 221
Fermi-level density of states   2.53 states/eV per cell
Total magnetization   0.00 μB/f.u.
Volume   30.34 Å³ per atom

Q: Among the records above, which one has the lowest volume?
A: In3GaBr

Please write out number 1 again, unchanged.
The following is a SCAN calculation of a crystal of GaSbI2Br relaxed with PBEsol, from Alexandria via LeMat-Bulk.

The structure in POSCAR format:
```
GaSbI2Br
1.0
5.8621 0.0000 0.0000
0.0000 5.8621 0.0000
0.0000 0.0000 5.5311
Ga Sb I Br
1 1 2 1
Direct
0.0000 0.0000 0.0000
0.5000 0.5000 0.0000
0.0000 0.5000 0.5000
0.5000 0.0000 0.5000
0.5000 0.5000 0.5000
```

Computed properties:
Formation energy without anion corrections   59.5 kJ/mol of atoms
Space group   No. 123
Polymorph energy (0 for the lowest one)   1.90 eV per formula unit
Fermi-level density of states   3.34 states/eV per cell
Total magnetization   1.67 μB/f.u.
Volume   38.01 Å³ per atom